No. 1
Density functional theory data (PBE) for crystalline Cd2InSi4 at its relaxed geometry.

a = 5.101 Å, b = 5.101 Å, c = 13.835 Å
α = 90.00°, β = 90.00°, γ = 90.00°
Space group I4/mmm (No. 139)
Symmetry-distinct sites (fractional):
Cd: 0.000 0.000 0.111 x4
In: 0.000 0.000 0.500 x2
Si: 0.000 0.000 0.297 x4
Si: 0.000 0.500 0.000 x4

* energy: -2.7278 eV/atom

=====

No. 2
Density functional theory data (PBE) for crystalline BeIn2P at its relaxed geometry.

a = 4.451 Å, b = 4.451 Å, c = 7.891 Å
α = 90.00°, β = 90.00°, γ = 90.00°
Space group I4/mmm (No. 139)
Symmetry-distinct sites (fractional):
Be: 0.000 0.000 0.000 x2
In: 0.000 0.500 0.250 x4
P: 0.000 0.000 0.500 x2

* energy: -3.0542 eV/atom
* energy of formation: 599 meV per atom

=====

No. 3
Density functional theory data (PBE) for crystalline ZnIn2Cl at its relaxed geometry.

a = 3.693 Å, b = 5.781 Å, c = 9.274 Å
α = 90.00°, β = 90.00°, γ = 90.00°
Space group Cmmm (No. 65)
Symmetry-distinct sites (fractional):
Zn: 0.000 0.000 0.000 x2
In: 0.000 0.500 0.252 x4
Cl: 0.000 0.000 0.500 x2

* energy: -2.3249 eV/atom

=====

No. 4
Density functional theory data (PBE) for crystalline CdGeO at its relaxed geometry.

a = 11.506 Å, b = 3.046 Å, c = 7.467 Å
α = 90.00°, β = 125.90°, γ = 90.00°
Space group Cm (No. 8)
Symmetry-distinct sites (fractional):
Cd: 0.000 0.000 0.000 x2
Cd: 0.182 0.500 0.435 x2
Ge: 0.258 0.500 0.028 x2
Ge: 0.486 0.000 0.561 x2
O: 0.377 0.000 0.670 x2
O: 0.378 0.500 0.362 x2

* energy: -4.0991 eV/atom

=====

No. 5
Density functional theory data (PBE) for crystalline AcPr4Ga4 at its relaxed geometry.

a = 9.430 Å, b = 9.430 Å, c = 5.984 Å
α = 90.00°, β = 90.00°, γ = 90.00°
Space group P4_2/n (No. 86, origin choice 2)
Symmetry-distinct sites (fractional):
Ac: 0.250 0.250 0.250 x2
Pr: 0.095 0.843 0.608 x8
Ga: 0.009 0.119 0.887 x8

* energy: -4.1992 eV/atom
* energy of formation: -273 meV per atom

=====

No. 6
Density functional theory data (PBE) for crystalline LaFeW2 at its relaxed geometry.

a = 2.9629 Å, b = 2.9629 Å, c = 28.9039 Å
α = 90.00°, β = 90.00°, γ = 120.00°
Space group R3m (No. 160, hexagonal axes)
Symmetry-distinct sites (fractional):
La: 0.0000 0.0000 0.0000 x3
Fe: 0.0000 0.0000 0.2412 x3
W: 0.0000 0.0000 0.5114 x3
W: 0.0000 0.0000 0.7654 x3

* energy: -9.0865 eV/atom
* energy of formation: 738 meV per atom

=====

No. 7
Density functional theory data (PBE) for crystalline Pm5Ho4Hg at its relaxed geometry.

a = 3.624 Å, b = 3.624 Å, c = 24.189 Å
α = 90.00°, β = 90.00°, γ = 90.00°
Space group P4/mmm (No. 123)
Symmetry-distinct sites (fractional):
Pm: 0.000 0.000 0.000 x1
Pm: 0.000 0.000 0.207 x2
Pm: 0.000 0.000 0.414 x2
Ho: 0.500 0.500 0.103 x2
Ho: 0.500 0.500 0.310 x2
Hg: 0.500 0.500 0.500 x1

* energy: -4.3110 eV/atom
* energy of formation: -74 meV per atom

=====

No. 8
Density functional theory data (PBE) for crystalline LiMg2TlN at its relaxed geometry.

a = 4.259 Å, b = 4.259 Å, c = 4.590 Å
α = 90.00°, β = 90.00°, γ = 90.00°
Space group P4/mmm (No. 123)
Symmetry-distinct sites (fractional):
Li: 0.000 0.000 0.000 x1
Mg: 0.000 0.500 0.500 x2
Tl: 0.500 0.500 0.000 x1
N: 0.000 0.000 0.500 x1

* energy: -3.4544 eV/atom

=====

No. 9
Density functional theory data (PBE) for crystalline CsIn2TcNi at its relaxed geometry.

a = 6.238 Å, b = 6.238 Å, c = 4.841 Å
α = 90.00°, β = 90.00°, γ = 90.00°
Space group P4/mmm (No. 123)
Symmetry-distinct sites (fractional):
Cs: 0.000 0.000 0.000 x1
In: 0.000 0.500 0.000 x2
Tc: 0.500 0.500 0.500 x1
Ni: 0.000 0.000 0.500 x1

* energy: -2.3595 eV/atom
* energy of formation: 2136 meV per atom

=====

No. 10
Density functional theory data (PBE) for crystalline SmErGa2 at its relaxed geometry.

a = 7.191 Å, b = 7.191 Å, c = 7.191 Å
α = 90.00°, β = 90.00°, γ = 90.00°
Space group Fm-3m (No. 225)
Symmetry-distinct sites (fractional):
Sm: 0.000 0.000 0.000 x4
Er: 0.000 0.000 0.500 x4
Ga: 0.250 0.250 0.250 x8

* energy: -4.4057 eV/atom
* energy of formation: -572 meV per atom

=====

No. 11
Density functional theory data (PBE) for crystalline MnHgTe2 at its relaxed geometry.

a = 6.256 Å, b = 8.450 Å, c = 4.504 Å
α = 90.00°, β = 114.82°, γ = 90.00°
Space group C2/m (No. 12)
Symmetry-distinct sites (fractional):
Mn: 0.000 0.000 0.000 x2
Hg: 0.000 0.500 0.000 x2
Te: 0.250 0.250 0.500 x4

* energy: -3.7346 eV/atom

=====

No. 12
Density functional theory data (PBE) for crystalline MnVCrTc at its relaxed geometry.

a = 5.866 Å, b = 5.866 Å, c = 5.866 Å
α = 90.00°, β = 90.00°, γ = 90.00°
Space group F-43m (No. 216)
Symmetry-distinct sites (fractional):
Mn: 0.000 0.000 0.000 x4
V: 0.250 0.250 0.750 x4
Cr: 0.250 0.250 0.250 x4
Tc: 0.000 0.000 0.500 x4

* energy: -9.6618 eV/atom
* energy of formation: -92 meV per atom

=====

Q: What is the energy in the fourth record?
A: -4.0991 eV/atom